Here is a geometry-optimized Na6V2B4PO16 structure from Alexandria via LeMat-Bulk. Energies are from PBE with a Hubbard U.

Calculated values
Final energy: -6.770 eV per atom
Size of the total moment: 1.8 μB/f.u.
Volume: 688.0 Å³/cell
Symmetry: Fd-3, No. 203

a b c (Å): 9.9091 9.9091 9.9091
angles (deg): 60.00 60.00 60.00
Element x y z (fractional)
Na: 0.0869 0.0869 0.6631
Na: 0.0869 0.6631 0.0869
Na: 0.0869 0.6631 0.6631
Na: 0.3369 0.3369 0.9131
Na: 0.3369 0.9131 0.3369
Na: 0.3369 0.9131 0.9131
Na: 0.6631 0.0869 0.0869
Na: 0.6631 0.0869 0.6631
Na: 0.6631 0.6631 0.0869
Na: 0.9131 0.3369 0.3369
Na: 0.9131 0.3369 0.9131
Na: 0.9131 0.9131 0.3369
V: 0.0000 0.5000 0.5000
V: 0.5000 0.0000 0.5000
V: 0.5000 0.5000 0.0000
V: 0.5000 0.5000 0.5000
B: 0.2885 0.2885 0.2885
B: 0.2885 0.2885 0.6344
B: 0.2885 0.6344 0.2885
B: 0.3656 0.7115 0.7115
B: 0.6344 0.2885 0.2885
B: 0.7115 0.3656 0.7115
B: 0.7115 0.7115 0.3656
B: 0.7115 0.7115 0.7115
P: 0.1250 0.1250 0.1250
P: 0.8750 0.8750 0.8750
O: 0.0608 0.0608 0.0608
O: 0.0608 0.0608 0.3176
O: 0.0608 0.3176 0.0608
O: 0.1334 0.3237 0.4052
O: 0.1334 0.4052 0.6377
O: 0.1334 0.6377 0.3237
O: 0.3176 0.0608 0.0608
O: 0.3237 0.1334 0.6377
O: 0.3237 0.4052 0.1334
O: 0.3237 0.6377 0.4052
O: 0.3623 0.5948 0.6763
O: 0.3623 0.6763 0.8666
O: 0.3623 0.8666 0.5948
O: 0.4052 0.1334 0.3237
O: 0.4052 0.3237 0.6377
O: 0.4052 0.6377 0.1334
O: 0.5948 0.3623 0.8666
O: 0.5948 0.6763 0.3623
O: 0.5948 0.8666 0.6763
O: 0.6377 0.1334 0.4052
O: 0.6377 0.3237 0.1334
O: 0.6377 0.4052 0.3237
O: 0.6763 0.3623 0.5948
O: 0.6763 0.5948 0.8666
O: 0.6763 0.8666 0.3623
O: 0.6824 0.9392 0.9392
O: 0.8666 0.3623 0.6763
O: 0.8666 0.5948 0.3623
O: 0.8666 0.6763 0.5948
O: 0.9392 0.6824 0.9392
O: 0.9392 0.9392 0.6824
O: 0.9392 0.9392 0.9392